No. 1
# Al2RuW | the Alexandria database | PBE-GGA | optimized geometry
data_Al2RuW
_chemical_formula_sum 'Al6 Ru3 W3'
_cell_length_a 2.8508
_cell_length_b 2.8508
_cell_length_c 25.5301
_cell_angle_alpha 90.00
_cell_angle_beta 90.00
_cell_angle_gamma 120.00
_symmetry_space_group_name_H-M 'R -3 m'
_symmetry_Int_Tables_number 166
_symmetry_space_group_name_Hall '-R 3 2"'
loop_
_atom_site_label
_atom_site_fract_x
_atom_site_fract_y
_atom_site_fract_z
Al1 0.0000 0.0000 0.2449
Ru1 0.0000 0.0000 0.5000
W1 0.0000 0.0000 0.0000
# Fermi-level density of states, states/eV per cell: 7.0
# E above lowest polymorph, meV per atom: 165.1

***

No. 2
# AlRuW | the Alexandria database | PBE-GGA | optimized geometry
data_AlRuW
_chemical_formula_sum 'Al4 Ru4 W4'
_cell_length_a 4.354
_cell_length_b 2.966
_cell_length_c 13.605
_cell_angle_alpha 90.00
_cell_angle_beta 90.00
_cell_angle_gamma 90.00
_symmetry_space_group_name_H-M 'A m m 2'
_symmetry_Int_Tables_number 38
_symmetry_space_group_name_Hall 'A 2 -2'
loop_
_atom_site_label
_atom_site_fract_x
_atom_site_fract_y
_atom_site_fract_z
Al1 0.000 0.000 0.000
Al2 0.500 0.000 0.135
Ru1 0.000 0.000 0.654
Ru2 0.500 0.000 0.793
W1 0.000 0.000 0.323
W2 0.500 0.000 0.460
# Fermi-level density of states, states/eV per cell: 5.7
# E above lowest polymorph, meV per atom: 196.1